Entry 1:
Compound: LaRhN2
Source: the Alexandria database
Functional: PBE
Structure: optimized geometry

Unit cell a=6.4229 b=6.4229 c=6.4229 alpha=30.70 beta=30.70 gamma=30.70
With the nearest neighbours (Å) after each atom.
Sites, in units of the cell vectors:
1 N 0.8771 0.8771 0.8771  3 Rh 2.12, 1 La 2.26
2 N 0.1229 0.1229 0.1229  3 Rh 2.12, 1 La 2.26
3 Rh 0.5000 0.5000 0.5000  6 N 2.12
4 La 0.0000 0.0000 0.0000  2 N 2.26

Results
energy relative to the lowest polymorph listed for this composition = 651 meV per atom

=====

Entry 2:
Compound: LaRhN2
Source: the Alexandria database
Functional: PBE
Structure: optimized geometry

Unit cell a=4.9002 b=4.9002 c=6.4215 alpha=67.57 beta=67.57 gamma=90.00
With the nearest neighbours (Å) after each atom.
Sites, in units of the cell vectors:
1 La 0.7500 0.2500 0.5000  4 N 2.43
2 La 0.0000 0.0000 0.0000  4 N 2.43
3 N 0.5488 0.1250 0.2500  2 Rh 2.01
4 N 0.3750 0.4512 0.7500  2 Rh 2.01
5 N 0.8750 0.7988 0.7500  2 Rh 2.01
6 N 0.2012 0.6250 0.2500  2 Rh 2.01
7 Rh 0.2500 0.7500 0.5000  4 N 2.01
8 Rh 0.5000 0.5000 0.0000  4 N 2.01

Results
energy relative to the lowest polymorph listed for this composition = 0 meV per atom

=====

Entry 3:
Compound: La2RuRhN
Source: the Alexandria database
Functional: PBE
Structure: optimized geometry

Unit cell a=5.2129 b=5.2129 c=3.8131 alpha=90.00 beta=90.00 gamma=90.00
With the nearest neighbours (Å) after each atom.
Sites, in units of the cell vectors:
1 La 0.0000 0.5000 0.0000  2 N 2.61
2 La 0.5000 0.0000 0.0000  2 N 2.61
3 Rh 0.5000 0.5000 0.5000  8 La 3.23
4 Ru 0.0000 0.0000 0.5000  2 N 1.91
5 N 0.0000 0.0000 0.0000  2 Ru 1.91

Results
E_tot = -7.619 eV per atom

=====

Entry 4:
Compound: LaRhSN2
Source: the Alexandria database
Functional: PBE
Structure: optimized geometry

Unit cell a=4.0507 b=4.0507 c=6.1072 alpha=90.00 beta=90.00 gamma=90.00
With the nearest neighbours (Å) after each atom.
Sites, in units of the cell vectors:
1 N 0.0000 0.5000 0.0000  2 La 2.03
2 N 0.5000 0.0000 0.0000  2 La 2.03
3 S 0.0000 0.0000 0.5000  4 Rh 2.86, 2 La 3.05
4 La 0.0000 0.0000 0.0000  4 N 2.03
5 Rh 0.5000 0.5000 0.5000  4 S 2.86

Results
energy relative to the lowest polymorph listed for this composition = 1347 meV per atom

=====

Entry 5:
Compound: LaRhSN2
Source: the Alexandria database
Functional: PBE
Structure: optimized geometry

Unit cell a=4.0262 b=4.0262 c=4.7623 alpha=90.00 beta=90.00 gamma=90.00
With the nearest neighbours (Å) after each atom.
Sites, in units of the cell vectors:
1 N 0.5000 0.0000 0.0000  2 Rh 2.01
2 N 0.0000 0.5000 0.0000  2 Rh 2.01
3 Rh 0.0000 0.0000 0.0000  4 N 2.01
4 La 0.5000 0.5000 0.5000  4 S 2.85, 8 N 3.12
5 S 0.0000 0.0000 0.5000  2 Rh 2.38

Results
energy relative to the lowest polymorph listed for this composition = 0 meV per atom

=====

Entry 6:
Compound: LaRhSeN2
Source: the Alexandria database
Functional: PBE
Structure: optimized geometry

Unit cell a=4.0650 b=4.0650 c=6.4497 alpha=90.00 beta=90.00 gamma=90.00
With the nearest neighbours (Å) after each atom.
Sites, in units of the cell vectors:
1 N 0.0000 0.5000 0.0000  2 La 2.03
2 N 0.5000 0.0000 0.0000  2 La 2.03
3 Rh 0.5000 0.5000 0.5000  4 Se 2.87
4 Se 0.0000 0.0000 0.5000  4 Rh 2.87
5 La 0.0000 0.0000 0.0000  4 N 2.03

Results
energy relative to the lowest polymorph listed for this composition = 1075 meV per atom